#w
The following is a DFT calculation (PBE) of an optimized crystal structure of CoRu2Rh.

Cell: 5.2960 5.2960 10.7477 Å, 90.00 90.00 90.00°
Space group I-42d (No. 122)
Unique sites:
Co  0.0000  0.0000  0.0000 (multiplicity 4)
Ru  0.2253  0.2500  0.1250 (multiplicity 8)
Rh  0.0000  0.0000  0.5000 (multiplicity 4)

N(E_F), states/eV/f.u.: 2.2

#x
The following is a DFT calculation (PBE) of an optimized crystal structure of CoRu2Rh.

Cell: 2.6834 3.7342 5.3100 Å, 90.00 90.00 90.00°
Space group Pmm2 (No. 25)
Unique sites:
Co  0.0000  0.0000  0.0000 (multiplicity 1)
Ru  0.0000  0.0000  0.5102 (multiplicity 1)
Ru  0.5000  0.5000  0.7555 (multiplicity 1)
Rh  0.5000  0.5000  0.2421 (multiplicity 1)

N(E_F), states/eV/f.u.: 5.4

Bottom line: #x, by a margin of 1.045 eV/atom.

#w
The following is a DFT calculation (PBE) of an optimized crystal structure of CoRu2Rh.

Cell: 2.6783 2.6783 25.8710 Å, 90.00 90.00 120.00°
Space group R-3m (No. 166, hexagonal axes)
Unique sites:
Co  0.0000  0.0000  0.0000 (multiplicity 3)
Ru  0.0000  0.0000  0.2529 (multiplicity 6)
Rh  0.0000  0.0000  0.5000 (multiplicity 3)

N(E_F), states/eV/f.u.: 6.0

#x
The following is a DFT calculation (PBE) of an optimized crystal structure of CoRu2Rh.

Cell: 2.6741 2.6741 7.3944 Å, 90.00 90.00 90.00°
Space group P4/mmm (No. 123)
Unique sites:
Co  0.0000  0.0000  0.0000 (multiplicity 1)
Ru  0.5000  0.5000  0.2366 (multiplicity 2)
Rh  0.0000  0.0000  0.5000 (multiplicity 1)

N(E_F), states/eV/f.u.: 5.3

#y
The following is a DFT calculation (PBE) of an optimized crystal structure of CoRu2Rh.

Cell: 4.5128 4.5128 2.7031 Å, 90.00 90.00 90.00°
Space group P4/mmm (No. 123)
Unique sites:
Co  0.0000  0.0000  0.0000 (multiplicity 1)
Ru  0.0000  0.5000  0.5000 (multiplicity 2)
Rh  0.5000  0.5000  0.0000 (multiplicity 1)

N(E_F), states/eV/f.u.: 7.2

Bottom line: #x, by a margin of 0.030 eV/atom.

#w
The following is a DFT calculation (PBE) of an optimized crystal structure of CoRu2Rh.

Cell: 3.7199 3.7199 7.6176 Å, 90.00 90.00 90.00°
Space group I4/mmm (No. 139)
Unique sites:
Co  0.0000  0.0000  0.0000 (multiplicity 2)
Ru  0.0000  0.5000  0.2500 (multiplicity 4)
Rh  0.0000  0.0000  0.5000 (multiplicity 2)

N(E_F), states/eV/f.u.: 5.4

#x
The following is a DFT calculation (PBE) of an optimized crystal structure of CoRu2Rh.

Cell: 3.7505 3.7505 7.5396 Å, 90.00 90.00 90.00°
Space group I-4m2 (No. 119)
Unique sites:
Co  0.0000  0.0000  0.0000 (multiplicity 2)
Ru  0.0000  0.0000  0.5000 (multiplicity 2)
Ru  0.0000  0.5000  0.2500 (multiplicity 2)
Rh  0.0000  0.5000  0.7500 (multiplicity 2)

N(E_F), states/eV/f.u.: 5.9

#y
The following is a DFT calculation (PBE) of an optimized crystal structure of CoRu2Rh.

Cell: 6.0298 6.0298 6.0298 Å, 90.00 90.00 90.00°
Space group Fm-3m (No. 225)
Unique sites:
Co  0.0000  0.0000  0.0000 (multiplicity 4)
Ru  0.2500  0.2500  0.2500 (multiplicity 8)
Rh  0.0000  0.0000  0.5000 (multiplicity 4)

N(E_F), states/eV/f.u.: 7.9

Bottom line: #x, by a margin of 0.014 eV/atom.

#w
The following is a DFT calculation (PBE) of an optimized crystal structure of CoRu2Rh.

Cell: 2.6909 2.6909 25.7650 Å, 90.00 90.00 120.00°
Space group R3m (No. 160, hexagonal axes)
Unique sites:
Co  0.0000  0.0000  0.0000 (multiplicity 3)
Ru  0.0000  0.0000  0.2514 (multiplicity 3)
Ru  0.0000  0.0000  0.5017 (multiplicity 3)
Rh  0.0000  0.0000  0.7478 (multiplicity 3)

N(E_F), states/eV/f.u.: 5.6

#x
The following is a DFT calculation (PBE) of an optimized crystal structure of CoRu2Rh.

Cell: 5.2862 7.5427 2.6599 Å, 90.00 90.00 90.00°
Space group Cmmm (No. 65)
Unique sites:
Co  0.0000  0.0000  0.0000 (multiplicity 2)
Ru  0.2500  0.2500  0.5000 (multiplicity 4)
Rh  0.0000  0.5000  0.0000 (multiplicity 2)

N(E_F), states/eV/f.u.: 6.0

#y
The following is a DFT calculation (PBE) of an optimized crystal structure of CoRu2Rh.

Cell: 6.0393 6.0393 6.0393 Å, 90.00 90.00 90.00°
Space group F-43m (No. 216)
Unique sites:
Co  0.0000  0.0000  0.0000 (multiplicity 4)
Ru  0.0000  0.0000  0.5000 (multiplicity 4)
Ru  0.2500  0.2500  0.2500 (multiplicity 4)
Rh  0.2500  0.2500  0.7500 (multiplicity 4)

N(E_F), states/eV/f.u.: 8.1

Bottom line: #w, by a margin of 0.017 eV/atom.

#w
The following is a DFT calculation (PBE) of an optimized crystal structure of Co2RuRh.

Cell: 2.7229 4.3388 4.4549 Å, 90.00 90.00 90.00°
Space group Pmmm (No. 47)
Unique sites:
Co  0.0000  0.0000  0.0000 (multiplicity 1)
Co  0.5000  0.0000  0.5000 (multiplicity 1)
Ru  0.0000  0.5000  0.5000 (multiplicity 1)
Rh  0.5000  0.5000  0.0000 (multiplicity 1)

N(E_F), states/eV/f.u.: 6.3

#x
The following is a DFT calculation (PBE) of an optimized crystal structure of Co2RuRh.

Cell: 5.9322 5.9322 5.9322 Å, 90.00 90.00 90.00°
Space group F-43m (No. 216)
Unique sites:
Co  0.0000  0.0000  0.0000 (multiplicity 4)
Co  0.2500  0.2500  0.2500 (multiplicity 4)
Ru  0.0000  0.0000  0.5000 (multiplicity 4)
Rh  0.2500  0.2500  0.7500 (multiplicity 4)

N(E_F), states/eV/f.u.: 8.3

#y
The following is a DFT calculation (PBE) of an optimized crystal structure of Co2RuRh.

Cell: 2.7378 4.3148 8.6329 Å, 90.00 90.00 90.00°
Space group Imm2 (No. 44)
Unique sites:
Co  0.0000  0.0000  0.0000 (multiplicity 2)
Co  0.0000  0.5000  0.2777 (multiplicity 2)
Ru  0.0000  0.0000  0.5270 (multiplicity 2)
Rh  0.0000  0.5000  0.7548 (multiplicity 2)

N(E_F), states/eV/f.u.: 6.9

Bottom line: #y, by a margin of 0.075 eV/atom.

#w
The following is a DFT calculation (PBE) of an optimized crystal structure of Co2RuRh.

Cell: 5.8859 5.8859 5.8859 Å, 90.00 90.00 90.00°
Space group Fm-3m (No. 225)
Unique sites:
Co  0.2500  0.2500  0.2500 (multiplicity 8)
Ru  0.0000  0.0000  0.0000 (multiplicity 4)
Rh  0.0000  0.0000  0.5000 (multiplicity 4)

N(E_F), states/eV/f.u.: 9.7

#x
The following is a DFT calculation (PBE) of an optimized crystal structure of Co2RuRh.

Cell: 2.6289 3.5983 5.2557 Å, 90.00 90.00 90.00°
Space group Pmmm (No. 47)
Unique sites:
Co  0.0000  0.0000  0.2442 (multiplicity 2)
Ru  0.5000  0.5000  0.0000 (multiplicity 1)
Rh  0.5000  0.5000  0.5000 (multiplicity 1)

N(E_F), states/eV/f.u.: 5.3

#y
The following is a DFT calculation (PBE) of an optimized crystal structure of Co2RuRh.

Cell: 2.6490 2.6490 25.1911 Å, 90.00 90.00 120.00°
Space group R-3m (No. 166, hexagonal axes)
Unique sites:
Co  0.0000  0.0000  0.2504 (multiplicity 6)
Ru  0.0000  0.0000  0.0000 (multiplicity 3)
Rh  0.0000  0.0000  0.5000 (multiplicity 3)

N(E_F), states/eV/f.u.: 5.9

Bottom line: #x, by a margin of 0.025 eV/atom.